Density functional theory data (PBE) for a relaxed MoBr2Cl2 crystal.

Cell and atoms, written as POSCAR:
```
MoBr2Cl2
1.0
6.330 -3.364 0.000
6.330 3.364 0.000
-5.823 0.000 6.632
Mo Br Cl
2 4 4
Direct
0.215 0.785 0.000
0.785 0.215 0.000
0.221 0.732 0.701
0.268 0.779 0.299
0.732 0.221 0.701
0.779 0.268 0.299
0.198 0.198 0.169
0.330 0.330 0.856
0.670 0.670 0.144
0.802 0.802 0.831
```

Summary:
E above lowest polymorph (eV per atom): 0.0174
Crystal system: monoclinic